Entry 1:
DFT (PBE) results for a relaxed structure of La2NiHg.

Lattice parameters (Å, degrees): 4.4883 4.4883 10.0258 90.00 90.00 90.00
Space group I-4m2 (No. 119)
Symmetry-distinct sites (fractional):
La 0.0000 0.0000 0.0000 x2
La 0.0000 0.5000 0.2500 x2
Ni 0.0000 0.5000 0.7500 x2
Hg 0.0000 0.0000 0.5000 x2

Properties
For the calculated formation energy, the calculation gives -0.14 eV/atom. As for the total magnetic moment: 0.00 μB/cell.



Entry 2:
DFT (PBE) results for a relaxed structure of La2NiHg.

Lattice parameters (Å, degrees): 3.5932 3.5932 8.2816 90.00 90.00 90.00
Space group P4mm (No. 99)
Symmetry-distinct sites (fractional):
La 0.0000 0.0000 0.0000 x1
La 0.5000 0.5000 0.3782 x1
Ni 0.0000 0.0000 0.5694 x1
Hg 0.5000 0.5000 0.7514 x1

Properties
For the calculated formation energy, the calculation gives -0.12 eV/atom. As for the total magnetic moment: 0.00 μB/cell.